(1)
This record from Alexandria via LeMat-Bulk describes a crystal of ZrTaOs2 relaxed with PBEsol. The functional is SCAN.

Its crystal system is orthorhombic. The value obtained for the energy of formation is -139 meV/atom. For the total energy, the calculation gives -60.400 eV/atom.

The space group is Immm (No. 71) and the conventional cell measures 3.189, 4.715 and 8.701 Å, with angles of 90.00, 90.00 and 90.00 degrees. The asymmetric unit holds Zr at (0.000, 0.000, 0.000), Ta at (0.000, 0.000, 0.500) and Os at (0.000, 0.500, 0.242).

---

(2)
This record from Alexandria via LeMat-Bulk describes a crystal of ZrTaOs2 relaxed with PBEsol. The functional is SCAN.

Its crystal system is orthorhombic. The value obtained for the energy of formation is -528 meV/atom. For the total energy, the calculation gives -60.789 eV/atom.

The space group is Cmmm (No. 65) and the conventional cell measures 6.315, 6.611 and 3.134 Å, with angles of 90.00, 90.00 and 90.00 degrees. The asymmetric unit holds Zr at (0.000, 0.000, 0.000), Ta at (0.000, 0.500, 0.000) and Os at (0.250, 0.250, 0.500).

---

(3)
This record from Alexandria via LeMat-Bulk describes a crystal of ZrTa2Os relaxed with PBEsol. The functional is SCAN.

Its crystal system is orthorhombic. The value obtained for the energy of formation is -353 meV/atom. For the total energy, the calculation gives -59.289 eV/atom.

The space group is Immm (No. 71) and the conventional cell measures 3.216, 4.553 and 9.480 Å, with angles of 90.00, 90.00 and 90.00 degrees. The asymmetric unit holds Zr at (0.000, 0.000, 0.000), Ta at (0.000, 0.500, 0.239) and Os at (0.000, 0.000, 0.500).

---

(4)
This record from Alexandria via LeMat-Bulk describes a crystal of ZrTaOs2 relaxed with PBEsol. The functional is SCAN.

Its crystal system is orthorhombic. The value obtained for the energy of formation is -312 meV/atom. For the total energy, the calculation gives -60.572 eV/atom.

The space group is Imm2 (No. 44) and the conventional cell measures 3.203, 4.427 and 9.273 Å, with angles of 90.00, 90.00 and 90.00 degrees. The asymmetric unit holds Zr at (0.000, 0.000, 0.000), Ta at (0.000, 0.500, 0.244), Os at (0.000, 0.000, 0.510) and Os at (0.000, 0.500, 0.745).